Below is a geometry-optimized SrY3Hg structure, with properties calculated at the PBE level.

Calculated values
ρ = 5.030 g cm⁻³
E above lowest polymorph = 976 meV per atom
Fermi-level density of states = 3.99 states/eV/f.u.

```
data_SrY3Hg
_space_group_name_H-M_alt 'P 1'
_space_group_IT_number 1
_cell_length_a 5.6793
_cell_length_b 5.6793
_cell_length_c 5.6793
_cell_angle_alpha 90.00
_cell_angle_beta 90.00
_cell_angle_gamma 90.00
loop_
_space_group_symop_operation_xyz
'x,y,z'
loop_
_atom_site_label
_atom_site_type_symbol
_atom_site_fract_x
_atom_site_fract_y
_atom_site_fract_z
Y1 Y 0.0000 0.5000 0.0000
Y2 Y 0.0000 0.0000 0.5000
Y3 Y 0.5000 0.0000 0.0000
Sr1 Sr 0.0000 0.0000 0.0000
Hg1 Hg 0.5000 0.5000 0.5000
```



Below is a geometry-optimized TmCrB14 structure, with properties calculated at the PBE level.

Calculated values
ρ = 4.869 g cm⁻³
Fermi-level density of states = 4.33 states/eV/f.u.
calculated total energy = -6.88 eV per atom

```
data_TmCrB14
_space_group_name_H-M_alt 'P 1'
_space_group_IT_number 1
_cell_length_a 5.8443
_cell_length_b 7.3156
_cell_length_c 7.3156
_cell_angle_alpha 67.86
_cell_angle_beta 66.46
_cell_angle_gamma 66.46
loop_
_space_group_symop_operation_xyz
'x,y,z'
loop_
_atom_site_label
_atom_site_type_symbol
_atom_site_fract_x
_atom_site_fract_y
_atom_site_fract_z
Tm1 Tm 0.2500 0.3786 0.1214
Tm2 Tm 0.7500 0.6214 0.8786
Cr1 Cr 0.5000 0.0000 0.5000
Cr2 Cr 0.0000 0.0000 0.5000
B1 B 0.6676 0.3635 0.3013
B2 B 0.3324 0.6365 0.6987
B3 B 0.1676 0.8013 0.8635
B4 B 0.8324 0.1987 0.1365
B5 B 0.1297 0.2412 0.4993
B6 B 0.8703 0.7588 0.5007
B7 B 0.6297 0.9993 0.7412
B8 B 0.3703 0.0007 0.2588
B9 B 0.0843 0.0872 0.7441
B10 B 0.9157 0.9128 0.2559
B11 B 0.5843 0.2441 0.5872
B12 B 0.4157 0.7559 0.4128
B13 B 0.7241 0.5977 0.2738
B14 B 0.5957 0.4023 0.7262
B15 B 0.2241 0.7738 0.0977
B16 B 0.0957 0.2262 0.9023
B17 B 0.2759 0.4023 0.7262
B18 B 0.4043 0.5977 0.2738
B19 B 0.7759 0.2262 0.9023
B20 B 0.9043 0.7738 0.0977
B21 B 0.3270 0.9691 0.8731
B22 B 0.1691 0.0309 0.1269
B23 B 0.8270 0.3731 0.4691
B24 B 0.6691 0.6269 0.5309
B25 B 0.6730 0.0309 0.1269
B26 B 0.8309 0.9691 0.8731
B27 B 0.1730 0.6269 0.5309
B28 B 0.3309 0.3731 0.4691
```



Below is a geometry-optimized CsAgO structure, with properties calculated at the PBE level.

Calculated values
ρ = 6.152 g cm⁻³
Fermi-level density of states = 0.36 states/eV/f.u.
formation energy from raw total energies = -0.4587 eV/atom

```
data_CsAgO
_space_group_name_H-M_alt 'P 1'
_space_group_IT_number 1
_cell_length_a 4.9092
_cell_length_b 4.0375
_cell_length_c 4.0375
_cell_angle_alpha 120.00
_cell_angle_beta 90.00
_cell_angle_gamma 90.00
loop_
_space_group_symop_operation_xyz
'x,y,z'
loop_
_atom_site_label
_atom_site_type_symbol
_atom_site_fract_x
_atom_site_fract_y
_atom_site_fract_z
Cs1 Cs 0.6664 0.6667 0.3333
O1 O 0.1671 0.0000 0.0000
Ag1 Ag 0.1665 0.3333 0.6667
```



Below is a geometry-optimized TbCd11Ga structure, with properties calculated at the PBE level.

Calculated values
ρ = 8.333 g cm⁻³
Fermi-level density of states = 3.46 states/eV/f.u.
calculated total energy = -1.43 eV per atom

```
data_TbCd11Ga
_space_group_name_H-M_alt 'P 1'
_space_group_IT_number 1
_cell_length_a 5.8894
_cell_length_b 7.5857
_cell_length_c 7.6536
_cell_angle_alpha 81.60
_cell_angle_beta 67.37
_cell_angle_gamma 67.68
loop_
_space_group_symop_operation_xyz
'x,y,z'
loop_
_atom_site_label
_atom_site_type_symbol
_atom_site_fract_x
_atom_site_fract_y
_atom_site_fract_z
Tb1 Tb 0.0000 0.0000 0.0000
Cd1 Cd 0.2907 0.2126 0.2095
Cd2 Cd 0.7093 0.7874 0.7905
Cd3 Cd 0.4998 0.7874 0.2095
Cd4 Cd 0.5002 0.2126 0.7905
Cd5 Cd 0.3543 0.6468 0.6512
Cd6 Cd 0.6457 0.3532 0.3488
Cd7 Cd 0.9946 0.3532 0.6512
Cd8 Cd 0.0054 0.6468 0.3488
Cd9 Cd 0.0000 0.5000 0.0000
Cd10 Cd 0.5000 0.0000 0.5000
Cd11 Cd 0.0000 0.0000 0.5000
Ga1 Ga 0.5000 0.5000 0.0000
```



Below is a geometry-optimized Li2ScTl5 structure, with properties calculated at the PBE level.

Calculated values
ρ = 9.150 g cm⁻³
Fermi-level density of states = 3.11 states/eV/f.u.
calculated total energy = -2.88 eV per atom

```
data_Li2ScTl5
_space_group_name_H-M_alt 'P 1'
_space_group_IT_number 1
_cell_length_a 6.3584
_cell_length_b 6.3586
_cell_length_c 6.3583
_cell_angle_alpha 106.47
_cell_angle_beta 106.47
_cell_angle_gamma 115.66
loop_
_space_group_symop_operation_xyz
'x,y,z'
loop_
_atom_site_label
_atom_site_type_symbol
_atom_site_fract_x
_atom_site_fract_y
_atom_site_fract_z
Li1 Li 0.2778 0.7781 0.5000
Li2 Li 0.7778 0.2781 0.4999
Sc1 Sc 0.7782 0.7781 0.0000
Tl1 Tl 0.2780 0.2782 0.5005
Tl2 Tl 0.2782 0.7775 0.0000
Tl3 Tl 0.7779 0.2781 0.0000
Tl4 Tl 0.7776 0.7778 0.4996
Tl5 Tl 0.2774 0.2771 0.0000
```



Below is a geometry-optimized EuHo2Ru structure, with properties calculated at the PBE level.

Calculated values
ρ = 7.437 g cm⁻³
E above lowest polymorph = 267 meV per atom
Fermi-level density of states = 2.81 states/eV/f.u.

```
data_EuHo2Ru
_space_group_name_H-M_alt 'P 1'
_space_group_IT_number 1
_cell_length_a 3.7952
_cell_length_b 3.7952
_cell_length_c 10.6610
_cell_angle_alpha 79.75
_cell_angle_beta 79.75
_cell_angle_gamma 60.00
loop_
_space_group_symop_operation_xyz
'x,y,z'
loop_
_atom_site_label
_atom_site_type_symbol
_atom_site_fract_x
_atom_site_fract_y
_atom_site_fract_z
Eu1 Eu 0.0000 0.0000 0.0000
Ru1 Ru 0.5000 0.5000 0.5000
Ho1 Ho 0.1155 0.1155 0.6534
Ho2 Ho 0.8845 0.8845 0.3466
```



Below is a geometry-optimized CsIn2Ni structure, with properties calculated at the PBE level.

Calculated values
ρ = 5.369 g cm⁻³
E above lowest polymorph = 0 meV per atom
Fermi-level density of states = 2.00 states/eV/f.u.

```
data_CsIn2Ni
_space_group_name_H-M_alt 'P 1'
_space_group_IT_number 1
_cell_length_a 4.5759
_cell_length_b 4.5759
_cell_length_c 7.6551
_cell_angle_alpha 72.61
_cell_angle_beta 72.61
_cell_angle_gamma 60.00
loop_
_space_group_symop_operation_xyz
'x,y,z'
loop_
_atom_site_label
_atom_site_type_symbol
_atom_site_fract_x
_atom_site_fract_y
_atom_site_fract_z
Cs1 Cs 0.5000 0.5000 0.5000
Ni1 Ni 0.0000 0.0000 0.0000
In1 In 0.6957 0.6957 0.9129
In2 In 0.3043 0.3043 0.0871
```



Below is a geometry-optimized PuSi2Mo structure, with properties calculated at the PBE level.

Calculated values
ρ = 9.626 g cm⁻³
E above lowest polymorph = 110 meV per atom
Fermi-level density of states = 7.69 states/eV/f.u.
formation energy from raw total energies = -0.3186 eV/atom

```
data_PuSi2Mo
_space_group_name_H-M_alt 'P 1'
_space_group_IT_number 1
_cell_length_a 3.2308
_cell_length_b 3.2308
_cell_length_c 6.5467
_cell_angle_alpha 90.00
_cell_angle_beta 90.00
_cell_angle_gamma 90.00
loop_
_space_group_symop_operation_xyz
'x,y,z'
loop_
_atom_site_label
_atom_site_type_symbol
_atom_site_fract_x
_atom_site_fract_y
_atom_site_fract_z
Mo1 Mo 0.5000 0.5000 0.0000
Si1 Si 0.0000 0.0000 0.8054
Si2 Si 0.0000 0.0000 0.1946
Pu1 Pu 0.5000 0.5000 0.5000
```